Entry from the Alexandria database: an optimized crystal structure of Np4Co3Si16 (PBE).

Values from the calculation:
Uncorrected formation energy in meV per atom: -280.1

```
data_Np4Co3Si16
_cell_length_a 5.737
_cell_length_b 5.737
_cell_length_c 10.549
_cell_angle_alpha 90.00
_cell_angle_beta 90.00
_cell_angle_gamma 90.00
_symmetry_space_group_name_H-M 'P 4/m m m'
_symmetry_Int_Tables_number 123
_symmetry_space_group_name_Hall '-P 4 2'
loop_
_atom_site_label
_atom_site_type_symbol
_atom_site_fract_x
_atom_site_fract_y
_atom_site_fract_z
Np1 Np 0.000 0.500 0.192
Co1 Co 0.000 0.000 0.000
Co2 Co 0.000 0.500 0.500
Si1 Si 0.000 0.000 0.233
Si2 Si 0.260 0.260 0.383
Si3 Si 0.284 0.284 0.000
Si4 Si 0.500 0.500 0.207
```

=====

Entry from the Alexandria database: an optimized crystal structure of RbTl2F4 (PBE).

Values from the calculation:
Uncorrected formation energy in meV per atom: -1775.9

```
data_RbTl2F4
_cell_length_a 5.227
_cell_length_b 5.227
_cell_length_c 12.820
_cell_angle_alpha 90.00
_cell_angle_beta 90.00
_cell_angle_gamma 90.00
_symmetry_space_group_name_H-M 'I 4/m m m'
_symmetry_Int_Tables_number 139
_symmetry_space_group_name_Hall '-I 4 2'
loop_
_atom_site_label
_atom_site_type_symbol
_atom_site_fract_x
_atom_site_fract_y
_atom_site_fract_z
Rb1 Rb 0.000 0.000 0.000
Tl1 Tl 0.000 0.000 0.384
F1 F 0.000 0.000 0.214
F2 F 0.000 0.500 0.000
```

=====

Entry from the Alexandria database: an optimized crystal structure of CsGaGe (PBE).

Values from the calculation:
Calculated formation energy in meV/atom: -110

```
data_CsGaGe
_cell_length_a 8.778
_cell_length_b 4.326
_cell_length_c 11.676
_cell_angle_alpha 90.00
_cell_angle_beta 90.00
_cell_angle_gamma 90.00
_symmetry_space_group_name_H-M 'P n m a'
_symmetry_Int_Tables_number 62
_symmetry_space_group_name_Hall '-P 2ac 2n'
loop_
_atom_site_label
_atom_site_type_symbol
_atom_site_fract_x
_atom_site_fract_y
_atom_site_fract_z
Cs1 Cs 0.014 0.250 0.184
Ga1 Ga 0.095 0.250 0.521
Ge1 Ge 0.201 0.750 0.432
```

=====

Entry from the Alexandria database: an optimized crystal structure of LaScNbCl2 (PBE).

Values from the calculation:
Uncorrected formation energy in meV per atom: 169.8

```
data_LaScNbCl2
_cell_length_a 5.336
_cell_length_b 5.336
_cell_length_c 6.584
_cell_angle_alpha 90.00
_cell_angle_beta 90.00
_cell_angle_gamma 90.00
_symmetry_space_group_name_H-M 'P 4/m m m'
_symmetry_Int_Tables_number 123
_symmetry_space_group_name_Hall '-P 4 2'
loop_
_atom_site_label
_atom_site_type_symbol
_atom_site_fract_x
_atom_site_fract_y
_atom_site_fract_z
La1 La 0.000 0.000 0.000
Sc1 Sc 0.500 0.500 0.500
Nb1 Nb 0.000 0.000 0.500
Cl1 Cl 0.000 0.500 0.000
```

=====

Entry from the Alexandria database: an optimized crystal structure of BeRhBr3 (PBE).

Values from the calculation:
Energy relative to the lowest polymorph listed for this composition in kJ/mol of atoms: 15.06
Uncorrected formation energy in meV per atom: 492.3

```
data_BeRhBr3
_cell_length_a 5.053
_cell_length_b 5.053
_cell_length_c 5.053
_cell_angle_alpha 90.00
_cell_angle_beta 90.00
_cell_angle_gamma 90.00
_symmetry_space_group_name_H-M 'P m -3 m'
_symmetry_Int_Tables_number 221
_symmetry_space_group_name_Hall '-P 4 2 3'
loop_
_atom_site_label
_atom_site_type_symbol
_atom_site_fract_x
_atom_site_fract_y
_atom_site_fract_z
Be1 Be 0.000 0.000 0.000
Rh1 Rh 0.500 0.500 0.500
Br1 Br 0.000 0.500 0.500
```

=====

Entry from the Alexandria database: an optimized crystal structure of PuScSe2 (PBE).

Values from the calculation:
Energy relative to the lowest polymorph listed for this composition in kJ/mol of atoms: 3.03
Uncorrected formation energy in meV per atom: -1543.5

```
data_PuScSe2
_cell_length_a 3.9168
_cell_length_b 3.9168
_cell_length_c 13.7475
_cell_angle_alpha 90.00
_cell_angle_beta 90.00
_cell_angle_gamma 120.00
_symmetry_space_group_name_H-M 'P 63/m m c'
_symmetry_Int_Tables_number 194
_symmetry_space_group_name_Hall '-P 6c 2c'
loop_
_atom_site_label
_atom_site_type_symbol
_atom_site_fract_x
_atom_site_fract_y
_atom_site_fract_z
Pu1 Pu 0.3333 0.6667 0.2500
Sc1 Sc 0.0000 0.0000 0.0000
Se1 Se 0.3333 0.6667 0.6126
```

=====

no.,N(E_F) (states/eV per cell),VASP energy (eV per atom)
1,28.59,-7.230
2,8.76,-3.660
3,1.99,-2.943
4,5.06,-4.835
5,3.99,-2.727
6,20.65,-8.452